Record 1
Material: CeLuSc2
Method: DFT, PBE
State: relaxed

Geometry as POSCAR:
```
CeLuSc2
1.0
3.395 0.000 0.000
0.000 3.395 0.000
0.000 0.000 9.301
Ce Lu Sc
1 1 2
direct
0.000 0.000 0.000
0.000 0.000 0.500
0.500 0.500 0.244
0.500 0.500 0.756
```

size of the total moment: 0.39 μB per formula unit
formation enthalpy at 0 K: 0.073 eV/atom
distance to the lowest polymorph of the same formula: 0.0000 eV per atom

Record 2
Material: CeLuSc2
Method: DFT, PBE
State: relaxed

Geometry as POSCAR:
```
CeLuSc2
1.0
4.832 0.000 0.000
0.000 4.832 0.000
0.000 0.000 4.598
Ce Lu Sc
1 1 2
direct
0.000 0.000 0.000
0.500 0.500 0.000
0.000 0.500 0.500
0.500 0.000 0.500
```

size of the total moment: 0.15 μB per formula unit
formation enthalpy at 0 K: 0.073 eV/atom
distance to the lowest polymorph of the same formula: 0.0002 eV per atom

Record 3
Material: CeSmLuSc
Method: DFT, PBE
State: relaxed

Geometry as POSCAR:
```
CeSmLuSc
1.0
0.000 3.901 3.901
3.901 0.000 3.901
3.901 3.901 0.000
Ce Sm Lu Sc
1 1 1 1
direct
0.000 0.000 0.000
0.500 0.500 0.500
0.250 0.250 0.250
0.750 0.750 0.750
```

size of the total moment: 0.43 μB per formula unit
formation enthalpy at 0 K: 0.118 eV/atom

Record 4
Material: CeLuScSn
Method: DFT, PBE
State: relaxed

Geometry as POSCAR:
```
CeLuScSn
1.0
0.000 3.678 3.678
3.678 0.000 3.678
3.678 3.678 0.000
Ce Lu Sc Sn
1 1 1 1
direct
0.000 0.000 0.000
0.750 0.750 0.750
0.250 0.250 0.250
0.500 0.500 0.500
```

size of the total moment: 1.63 μB per formula unit
formation enthalpy at 0 K: -0.199 eV/atom

Record 5
Material: TbCeLuSc
Method: DFT, PBE
State: relaxed

Geometry as POSCAR:
```
TbCeLuSc
1.0
0.000 3.880 3.880
3.880 0.000 3.880
3.880 3.880 0.000
Tb Ce Lu Sc
1 1 1 1
direct
0.000 0.000 0.000
0.500 0.500 0.500
0.250 0.250 0.250
0.750 0.750 0.750
```

size of the total moment: 0.42 μB per formula unit
formation enthalpy at 0 K: 0.114 eV/atom

Record 6
Material: CeLuScTl
Method: DFT, PBE
State: relaxed

Geometry as POSCAR:
```
CeLuScTl
1.0
0.000 3.702 3.702
3.702 0.000 3.702
3.702 3.702 0.000
Ce Lu Sc Tl
1 1 1 1
direct
0.000 0.000 0.000
0.750 0.750 0.750
0.250 0.250 0.250
0.500 0.500 0.500
```

size of the total moment: 1.20 μB per formula unit
formation enthalpy at 0 K: 0.030 eV/atom

Record 7
Material: CeTmLuSc
Method: DFT, PBE
State: relaxed

Geometry as POSCAR:
```
CeTmLuSc
1.0
0.000 3.862 3.862
3.862 0.000 3.862
3.862 3.862 0.000
Ce Tm Lu Sc
1 1 1 1
direct
0.000 0.000 0.000
0.750 0.750 0.750
0.500 0.500 0.500
0.250 0.250 0.250
```

size of the total moment: 0.65 μB per formula unit
formation enthalpy at 0 K: 0.129 eV/atom

Record 8
Material: CeYLuSc
Method: DFT, PBE
State: relaxed

Geometry as POSCAR:
```
CeYLuSc
1.0
0.000 3.886 3.886
3.886 0.000 3.886
3.886 3.886 0.000
Ce Y Lu Sc
1 1 1 1
direct
0.000 0.000 0.000
0.500 0.500 0.500
0.250 0.250 0.250
0.750 0.750 0.750
```

size of the total moment: 0.47 μB per formula unit
formation enthalpy at 0 K: 0.115 eV/atom